*1*
The following is a meta-GGA SCAN calculation of a PBEsol-optimized structure of Li2OsRu, from Alexandria via LeMat-Bulk.

Results
* N(E_F): 3.71 states/eV per cell
* theoretical density: 8.93 g/cm³
* SG: No. 99

Unit cell a=2.776 b=2.776 c=7.367 alpha=90.00 beta=90.00 gamma=90.00
Sites, in units of the cell vectors:
Li 0.000 0.000 0.986
Li 0.500 0.500 0.264
Os 0.000 0.000 0.517
Ru 0.500 0.500 0.734



*2*
The following is a meta-GGA SCAN calculation of a PBEsol-optimized structure of Li2OsRu, from Alexandria via LeMat-Bulk.

Results
* N(E_F): 2.29 states/eV per cell
* theoretical density: 9.47 g/cm³
* SG: No. 65

Unit cell a=2.556 b=2.556 c=9.102 alpha=90.00 beta=90.00 gamma=115.91
Sites, in units of the cell vectors:
Li 0.000 0.000 0.249
Li 0.000 0.000 0.751
Os 0.500 0.500 0.500
Ru 0.500 0.500 0.000



Stability, highest: *2*